No. 1
Density functional theory data (PBE) for crystalline K3DyU2S6 at its relaxed geometry.

Results
Theoretical density: 5.0 g/cm³
Raw total energy: -73.70 eV for the cell shown

Lattice parameters (Å, degrees): 7.0104 7.0104 7.7764 98.64 98.64 120.00
With the nearest neighbours (Å) after each atom.
Atoms (fractional coordinates):
K: 0.5000 0.5000 0.5000  6 S 3.21
K: 0.8340 0.1660 0.5000  6 S 3.20-3.21
K: 0.1660 0.8340 0.5000  6 S 3.20-3.21
S: 0.5986 0.9321 0.7964  2 U 2.78, 1 Dy 2.78
S: 0.2657 0.2657 0.7966  2 U 2.78, 1 Dy 2.78
S: 0.4014 0.0679 0.2036  2 U 2.78, 1 Dy 2.78
S: 0.9321 0.5986 0.7964  2 U 2.78, 1 Dy 2.78
S: 0.7343 0.7343 0.2034  2 U 2.78, 1 Dy 2.78
S: 0.0679 0.4014 0.2036  2 U 2.78, 1 Dy 2.78
U: 0.6668 0.3332 0.0000  6 S 2.78
U: 0.3332 0.6668 0.0000  6 S 2.78
Dy: 0.0000 0.0000 0.0000  6 S 2.78

=====

No. 2
Density functional theory data (PBE) for crystalline Ca2ScAl4Pt3 at its relaxed geometry.

Results
Theoretical density: 6.8 g/cm³
Raw total energy: -51.87 eV for the cell shown
DFT formation energy: -8.44 eV/f.u.

Lattice parameters (Å, degrees): 4.1298 4.1298 11.6951 90.00 90.00 90.00
With the nearest neighbours (Å) after each atom.
Atoms (fractional coordinates):
Al: 0.5000 0.5000 0.0000  4 Pt 2.54
Al: 0.0000 0.5000 0.3411  3 Pt 2.52-2.78, 2 Sc 2.78
Al: 0.0000 0.0000 0.0000  4 Pt 2.54
Al: 0.5000 0.0000 0.6589  3 Pt 2.52-2.78, 2 Sc 2.78
Pt: 0.5000 0.0000 0.8740  5 Al 2.52-2.54
Pt: 0.0000 0.5000 0.1260  5 Al 2.52-2.54
Pt: 0.0000 0.0000 0.5000  4 Al 2.78, 4 Sc 2.92
Ca: 0.5000 0.0000 0.2348  8 Al 3.17-3.44, 4 Pt 3.19
Ca: 0.0000 0.5000 0.7652  8 Al 3.17-3.44, 4 Pt 3.19
Sc: 0.5000 0.5000 0.5000  4 Al 2.78, 4 Pt 2.92

=====

No. 3
Density functional theory data (PBE) for crystalline Cs2MoPI6 at its relaxed geometry.

Results
Theoretical density: 4.6 g/cm³
Raw total energy: -31.91 eV for the cell shown

Lattice parameters (Å, degrees): 8.1311 8.1311 8.5574 61.63 61.63 90.00
With the nearest neighbours (Å) after each atom.
Atoms (fractional coordinates):
Cs: 0.2500 0.7500 0.5000  12 I 4.08-4.28
Cs: 0.7500 0.2500 0.5000  12 I 4.08-4.28
Mo: 0.0000 0.0000 0.0000  6 I 2.81-2.91
I: 0.7469 0.2531 0.0000  1 P 2.84, 1 Mo 2.91
I: 0.7781 0.7781 0.4438  1 Mo 2.81
I: 0.2531 0.2531 0.0000  1 P 2.84, 1 Mo 2.91
I: 0.7469 0.7469 0.0000  1 P 2.84, 1 Mo 2.91
I: 0.2219 0.2219 0.5562  1 Mo 2.81
I: 0.2531 0.7469 0.0000  1 P 2.84, 1 Mo 2.91
P: 0.5000 0.5000 0.0000  4 I 2.84

=====

No. 4
Density functional theory data (PBE) for crystalline CaDy3Ag2 at its relaxed geometry.

Results
Theoretical density: 7.4 g/cm³
Raw total energy: -45.29 eV for the cell shown
DFT formation energy: -1.14 eV/f.u.

Lattice parameters (Å, degrees): 5.0350 7.2175 9.1508 90.00 90.00 90.00
With the nearest neighbours (Å) after each atom.
Atoms (fractional coordinates):
Ag: 0.0000 0.2548 0.6461  5 Dy 2.94-3.12, 2 Ca 3.25
Ag: 0.0000 0.7548 0.3539  5 Dy 2.94-3.12, 2 Ca 3.25
Ag: 0.5000 0.2437 0.1424  6 Dy 2.94-3.24, 1 Ca 3.11
Ag: 0.5000 0.7437 0.8576  6 Dy 2.94-3.24, 1 Ca 3.11
Ca: 0.5000 0.0219 0.4341  3 Ag 3.11-3.25
Ca: 0.5000 0.5219 0.5659  3 Ag 3.11-3.25
Dy: 0.0000 0.9783 0.0654  3 Ag 3.09-3.24
Dy: 0.0000 0.4783 0.9346  3 Ag 3.09-3.24
Dy: 0.5000 0.1510 0.8295  4 Ag 2.94-3.12
Dy: 0.0000 0.3502 0.3168  4 Ag 2.94-3.09
Dy: 0.5000 0.6510 0.1705  4 Ag 2.94-3.12
Dy: 0.0000 0.8502 0.6832  4 Ag 2.94-3.09

=====

No. 5
Density functional theory data (PBE) for crystalline InRu2PtI at its relaxed geometry.

Results
Theoretical density: 8.5 g/cm³
Raw total energy: -19.70 eV for the cell shown

Lattice parameters (Å, degrees): 4.7686 4.7686 5.4839 90.00 90.00 90.00
With the nearest neighbours (Å) after each atom.
Atoms (fractional coordinates):
I: 0.0000 0.0000 0.0000  4 Ru 2.38
Ru: 0.5000 0.0000 0.0000  2 I 2.38
Ru: 0.0000 0.5000 0.0000  2 I 2.38
In: 0.0000 0.0000 0.5000  2 I 2.74
Pt: 0.5000 0.5000 0.5000  4 In 3.37, 8 Ru 3.63

=====

No. 6
Density functional theory data (PBE) for crystalline IrOsPb3 at its relaxed geometry.

Results
Theoretical density: 11.8 g/cm³
Raw total energy: -25.42 eV for the cell shown
DFT formation energy: 5.79 eV/f.u.
Energy relative to the lowest polymorph listed for this composition: 0 meV/atom

Lattice parameters (Å, degrees): 5.2070 5.2070 5.2070 90.00 90.00 90.00
With the nearest neighbours (Å) after each atom.
Atoms (fractional coordinates):
Pb: 0.0000 0.0000 0.5000  2 Os 2.60
Pb: 0.0000 0.5000 0.0000  2 Os 2.60
Pb: 0.5000 0.0000 0.0000  2 Os 2.60
Os: 0.0000 0.0000 0.0000  6 Pb 2.60
Ir: 0.5000 0.5000 0.5000  12 Pb 3.68

=====

No. 7
Density functional theory data (PBE) for crystalline Ir2Rh at its relaxed geometry.

Results
Theoretical density: 18.7 g/cm³
Raw total energy: -25.11 eV for the cell shown
DFT formation energy: -0.04 eV/f.u.
Energy relative to the lowest polymorph listed for this composition: 3 meV/atom

Lattice parameters (Å, degrees): 6.1121 6.1121 6.1121 154.18 154.18 36.84
With the nearest neighbours (Å) after each atom.
Atoms (fractional coordinates):
Ir: 0.6649 0.6649 0.0000  8 Ir 2.70-2.73, 4 Rh 2.75
Ir: 0.0018 0.0018 0.0000  8 Ir 2.70-2.73, 4 Rh 2.75
Rh: 0.3333 0.3333 0.0000  4 Rh 2.73, 8 Ir 2.75

=====

No. 8
Density functional theory data (PBE) for crystalline Al3ReSn at its relaxed geometry.

Results
Theoretical density: 5.7 g/cm³
Raw total energy: -26.01 eV for the cell shown
DFT formation energy: 1.67 eV/f.u.
Energy relative to the lowest polymorph listed for this composition: 0 meV/atom

Lattice parameters (Å, degrees): 4.8357 4.8357 4.8357 90.00 90.00 90.00
With the nearest neighbours (Å) after each atom.
Atoms (fractional coordinates):
Al: 0.0000 0.0000 0.5000  2 Re 2.42
Al: 0.5000 0.0000 0.0000  2 Re 2.42
Al: 0.0000 0.5000 0.0000  2 Re 2.42
Sn: 0.5000 0.5000 0.5000  12 Al 3.42
Re: 0.0000 0.0000 0.0000  6 Al 2.42

=====

No. 9
Density functional theory data (PBE) for crystalline LiAg3 at its relaxed geometry.

Results
Theoretical density: 8.0 g/cm³
Raw total energy: -21.97 eV for the cell shown
DFT formation energy: -0.52 eV/f.u.

Lattice parameters (Å, degrees): 4.6961 5.0347 5.8109 90.00 90.00 90.00
With the nearest neighbours (Å) after each atom.
Atoms (fractional coordinates):
Ag: 0.0000 0.8316 0.2513  8 Ag 2.88-2.93, 4 Li 2.88-2.93
Ag: 0.5000 0.1684 0.7513  8 Ag 2.88-2.93, 4 Li 2.88-2.93
Ag: 0.5000 0.1684 0.2487  8 Ag 2.88-2.93, 4 Li 2.88-2.93
Ag: 0.0000 0.3369 0.5000  4 Li 2.87-2.91, 8 Ag 2.88-2.93
Ag: 0.5000 0.6631 0.0000  4 Li 2.87-2.91, 8 Ag 2.88-2.93
Ag: 0.0000 0.8316 0.7487  8 Ag 2.88-2.93, 4 Li 2.88-2.93
Li: 0.0000 0.3358 0.0000  12 Ag 2.87-2.93
Li: 0.5000 0.6642 0.5000  12 Ag 2.87-2.93

=====

No. 10
Density functional theory data (PBE) for crystalline Y2Ti2Pt at its relaxed geometry.

Results
Theoretical density: 7.0 g/cm³
Raw total energy: -72.45 eV for the cell shown
DFT formation energy: -1.47 eV/f.u.

Lattice parameters (Å, degrees): 6.7128 6.7128 4.9390 90.00 90.00 90.00
With the nearest neighbours (Å) after each atom.
Atoms (fractional coordinates):
Ti: 0.1442 0.3558 0.0000  2 Pt 2.58, 1 Ti 2.74
Ti: 0.6442 0.1442 0.0000  2 Pt 2.58, 1 Ti 2.74
Ti: 0.3558 0.8558 0.0000  2 Pt 2.58, 1 Ti 2.74
Ti: 0.8558 0.6442 0.0000  2 Pt 2.58, 1 Ti 2.74
Y: 0.6687 0.8313 0.5000  6 Ti 3.04-3.25, 1 Y 3.20
Y: 0.8313 0.3313 0.5000  6 Ti 3.04-3.25, 1 Y 3.20
Y: 0.3313 0.1687 0.5000  6 Ti 3.04-3.25, 1 Y 3.20
Y: 0.1687 0.6687 0.5000  6 Ti 3.04-3.25, 1 Y 3.20
Pt: 0.5000 0.5000 0.0000  4 Ti 2.58
Pt: 0.0000 0.0000 0.0000  4 Ti 2.58

=====

No. 11
Density functional theory data (PBE) for crystalline La2Si2Ir at its relaxed geometry.

Results
Theoretical density: 8.3 g/cm³
Raw total energy: -67.04 eV for the cell shown

Lattice parameters (Å, degrees): 6.6053 6.6053 4.8441 90.00 90.00 90.00
With the nearest neighbours (Å) after each atom.
Atoms (fractional coordinates):
Ir: 0.5000 0.5000 0.0000  4 Si 2.58
Ir: 0.0000 0.0000 0.0000  4 Si 2.58
La: 0.3246 0.1754 0.5000  6 Si 3.01-3.18, 1 La 3.28
La: 0.1754 0.6754 0.5000  6 Si 3.01-3.18, 1 La 3.28
La: 0.6754 0.8246 0.5000  6 Si 3.01-3.18, 1 La 3.28
La: 0.8246 0.3246 0.5000  6 Si 3.01-3.18, 1 La 3.28
Si: 0.1330 0.3670 0.0000  1 Si 2.49, 2 Ir 2.58
Si: 0.3670 0.8670 0.0000  1 Si 2.49, 2 Ir 2.58
Si: 0.8670 0.6330 0.0000  1 Si 2.49, 2 Ir 2.58
Si: 0.6330 0.1330 0.0000  1 Si 2.49, 2 Ir 2.58

=====

No. 12
Density functional theory data (PBE) for crystalline LaY2B at its relaxed geometry.

Results
Theoretical density: 5.0 g/cm³
Raw total energy: -47.14 eV for the cell shown
DFT formation energy: 0.96 eV/f.u.

Lattice parameters (Å, degrees): 8.5390 8.5390 6.7473 50.75 50.75 90.00
With the nearest neighbours (Å) after each atom.
Atoms (fractional coordinates):
Y: 0.2280 0.6250 0.2500  2 B 2.59
Y: 0.3750 0.4780 0.7500  2 B 2.59
Y: 0.5220 0.1250 0.2500  2 B 2.59
Y: 0.8750 0.7720 0.7500  2 B 2.59
La: 0.7500 0.2500 0.5000  2 B 3.01, 4 Y 3.35
La: 0.0000 0.0000 0.0000  2 B 3.01, 4 Y 3.35
B: 0.5000 0.5000 0.0000  4 Y 2.59
B: 0.2500 0.7500 0.5000  4 Y 2.59